# 1
{
  "formula": "Ti4FeNi",
  "functional": "SCAN",
  "state": "single point on PBEsol structure",
  "cell": [[0.000, 5.555, 5.555], [5.555, 0.000, 5.555], [5.555, 5.555, 0.000]],
  "species": ["Ti", "Ti", "Ti", "Ti", "Ti", "Ti", "Ti", "Ti", "Ti", "Ti", "Ti", "Ti", "Ti", "Ti", "Ti", "Ti", "Fe", "Fe", "Fe", "Fe", "Ni", "Ni", "Ni", "Ni"],
  "fractional_positions": [[0.058, 0.058, 0.442], [0.058, 0.442, 0.058], [0.058, 0.442, 0.442], [0.129, 0.624, 0.624], [0.184, 0.184, 0.816], [0.184, 0.816, 0.184], [0.184, 0.816, 0.816], [0.442, 0.058, 0.058], [0.442, 0.058, 0.442], [0.442, 0.442, 0.058], [0.624, 0.129, 0.624], [0.624, 0.624, 0.129], [0.624, 0.624, 0.624], [0.816, 0.184, 0.184], [0.816, 0.184, 0.816], [0.816, 0.816, 0.184], [0.489, 0.837, 0.837], [0.837, 0.489, 0.837], [0.837, 0.837, 0.489], [0.837, 0.837, 0.837], [0.407, 0.407, 0.407], [0.407, 0.407, 0.780], [0.407, 0.780, 0.407], [0.780, 0.407, 0.407]],
  "formation_enthalpy_0k_mev_per_atom": -249,
  "space_group": "F-43m (216)"
}

***

# 2
{
  "formula": "Ag3Se2",
  "functional": "SCAN",
  "state": "single point on PBEsol structure",
  "cell": [[0.000, 7.608, 2.124], [6.447, 0.000, 2.124], [6.447, 7.608, 0.000]],
  "species": ["Ag", "Ag", "Ag", "Ag", "Ag", "Ag", "Se", "Se", "Se", "Se"],
  "fractional_positions": [[0.000, 0.000, 0.000], [0.250, 0.250, 0.250], [0.354, 0.676, 0.652], [0.598, 0.931, 0.896], [0.676, 0.354, 0.319], [0.931, 0.598, 0.574], [0.189, 0.308, 0.515], [0.262, 0.735, 0.942], [0.308, 0.189, 0.988], [0.735, 0.262, 0.061]],
  "space_group": "Fdd2 (43)",
  "de_polymorph_mev_per_atom": 0.0
}

***

# 3
{
  "formula": "Al2CdTe",
  "functional": "SCAN",
  "state": "single point on PBEsol structure",
  "cell": [[1.784, -2.441, 0.000], [1.784, 2.441, 0.000], [0.000, 0.000, 9.959]],
  "species": ["Al", "Al", "Cd", "Te"],
  "fractional_positions": [[0.000, 0.000, 0.237], [0.000, 0.000, 0.763], [0.500, 0.500, 0.000], [0.500, 0.500, 0.500]],
  "space_group": "Cmmm (65)",
  "de_polymorph_mev_per_atom": 0.0
}

***

# 4
{
  "formula": "SrTaCd4",
  "functional": "SCAN",
  "state": "single point on PBEsol structure",
  "cell": [[0.000, 4.050, 4.050], [4.050, 0.000, 4.050], [4.050, 4.050, 0.000]],
  "species": ["Sr", "Ta", "Cd", "Cd", "Cd", "Cd"],
  "fractional_positions": [[0.000, 0.000, 0.000], [0.750, 0.750, 0.750], [0.376, 0.376, 0.376], [0.376, 0.376, 0.872], [0.376, 0.872, 0.376], [0.872, 0.376, 0.376]],
  "formation_enthalpy_0k_mev_per_atom": 250,
  "space_group": "F-43m (216)"
}

***

# 5
{
  "formula": "MnO2",
  "functional": "SCAN",
  "state": "single point on PBEsol structure",
  "cell": [[0.000, 4.009, 4.009], [4.009, 0.000, 4.009], [4.009, 4.009, 0.000]],
  "species": ["Mn", "Mn", "Mn", "Mn", "O", "O", "O", "O", "O", "O", "O", "O"],
  "fractional_positions": [[0.000, 0.000, 0.000], [0.000, 0.000, 0.500], [0.000, 0.500, 0.000], [0.500, 0.000, 0.000], [0.208, 0.764, 0.764], [0.236, 0.236, 0.236], [0.236, 0.236, 0.792], [0.236, 0.792, 0.236], [0.764, 0.208, 0.764], [0.764, 0.764, 0.208], [0.764, 0.764, 0.764], [0.792, 0.236, 0.236]],
  "space_group": "Fd-3m (227)"
}

***

# 6
{
  "formula": "Ho2Ga8Co",
  "functional": "SCAN",
  "state": "single point on PBEsol structure",
  "cell": [[4.150, 0.000, 0.000], [0.000, 4.150, 0.000], [0.000, 0.000, 10.906]],
  "species": ["Ho", "Ho", "Ga", "Ga", "Ga", "Ga", "Ga", "Ga", "Ga", "Ga", "Co"],
  "fractional_positions": [[0.000, 0.000, 0.194], [0.000, 0.000, 0.806], [0.000, 0.500, 0.000], [0.000, 0.500, 0.383], [0.000, 0.500, 0.617], [0.500, 0.000, 0.000], [0.500, 0.000, 0.383], [0.500, 0.000, 0.617], [0.500, 0.500, 0.194], [0.500, 0.500, 0.806], [0.000, 0.000, 0.500]],
  "formation_enthalpy_0k_mev_per_atom": -542,
  "space_group": "P4/mmm (123)"
}

***

| no. | calculated density (Mg/m³) | total energy (eV for the cell shown) |
| --- | --- | --- |
| 1 | 5.929 | -399.7 |
| 2 | 7.674 | -268.7 |
| 3 | 5.628 | -82.0 |
| 4 | 8.973 | -209.0 |
| 5 | 4.479 | -147.3 |
| 6 | 8.369 | -252.0 |